A plane-wave DFT calculation with PBE was carried out for a geometry-optimized Tb2SmDy3P6 structure.

The formation energy comes out at -1.6050 eV per atom. Its space group is C2/m, No. 12. For the raw total energy, the calculation gives -6.63 eV per atom. As for the density: 6821 kg/m³.

Geometry as CIF:
```
data_Tb2SmDy3P6
_chemical_formula_sum 'Tb2 Sm1 Dy3 P6'
_cell_length_a 6.9815
_cell_length_b 6.9815
_cell_length_c 6.9821
_cell_angle_alpha 99.58
_cell_angle_beta 99.58
_cell_angle_gamma 119.99
_space_group_name_H-M_alt 'P 1'
_space_group_IT_number 1
_space_group_name_Hall 'P 1'
loop_
_atom_site_label
_atom_site_type_symbol
_atom_site_fract_x
_atom_site_fract_y
_atom_site_fract_z
_atom_site_occupancy
P1 P 0.7483 0.7483 0.2527 1
P2 P 0.5798 0.9157 0.7470 1
P3 P 0.4202 0.0843 0.2530 1
P4 P 0.0843 0.4202 0.2530 1
P5 P 0.2517 0.2517 0.7473 1
P6 P 0.9157 0.5798 0.7470 1
Dy1 Dy 0.1662 0.8338 0.5000 1
Dy2 Dy 0.8338 0.1662 0.5000 1
Dy3 Dy 0.5000 0.5000 0.5000 1
Sm1 Sm 0.0000 0.0000 0.0000 1
Tb1 Tb 0.6668 0.3332 0.0000 1
Tb2 Tb 0.3332 0.6668 0.0000 1
```